No. 1
## Li2NiMo (PBE)

Data for a relaxed structure of Li2NiMo.

## Properties
total DFT energy (no corrections): -4.867 eV/atom
polymorph energy (0 for the lowest one): 88 meV/atom

Cell lengths 2.607, 4.418, 4.726 Å; angles 90.00, 90.00, 90.00 degrees
Space group Pmmm (No. 47)
Asymmetric unit:
Li 0.000 0.000 0.000
Li 0.500 0.500 0.000
Ni 0.000 0.500 0.500
Mo 0.500 0.000 0.500


No. 2
## LaCeDy (PBE)

Data for a relaxed structure of LaCeDy.

## Properties
total DFT energy (no corrections): -5.082 eV/atom
polymorph energy (0 for the lowest one): 13 meV/atom

Cell lengths 3.5560, 3.5560, 8.7380 Å; angles 90.00, 90.00, 120.00 degrees
Space group P3m1 (No. 156)
Asymmetric unit:
La 0.0000 0.0000 0.0000
Ce 0.3333 0.6667 0.6756
Dy 0.6667 0.3333 0.3547


No. 3
## PuBeAl (PBE)

Data for a relaxed structure of PuBeAl.

## Properties
total DFT energy (no corrections): -7.085 eV/atom

Cell lengths 8.0929, 8.0929, 2.7615 Å; angles 90.00, 90.00, 120.00 degrees
Space group P-62m (No. 189)
Asymmetric unit:
Pu 0.0000 0.2916 0.0000
Be 0.0000 0.0000 0.5000
Be 0.3333 0.6667 0.0000
Al 0.0000 0.6237 0.5000


No. 4
## Li3USn2Te6 (PBE)

Data for a relaxed structure of Li3USn2Te6.

## Properties
formation energy (no corrections): -0.63 eV per atom
total DFT energy (no corrections): -4.290 eV/atom

Cell lengths 7.716, 13.383, 7.321 Å; angles 90.00, 110.55, 90.00 degrees
Space group C2/m (No. 12)
Asymmetric unit:
Li 0.000 0.000 0.000
Li 0.000 0.331 0.000
U 0.000 0.500 0.500
Sn 0.000 0.167 0.500
Te 0.233 0.500 0.248
Te 0.244 0.341 0.757


No. 5
## BeVAu (PBE)

Data for a relaxed structure of BeVAu.

## Properties
total DFT energy (no corrections): -5.354 eV/atom
polymorph energy (0 for the lowest one): 109 meV/atom

Cell lengths 4.262, 4.457, 4.864 Å; angles 70.88, 67.86, 76.00 degrees
Space group P-1 (No. 2)
Asymmetric unit:
Be 0.188 0.296 0.449
V 0.101 0.729 0.924
Au 0.402 0.807 0.297


No. 6
## ScCoHg2 (PBE)

Data for a relaxed structure of ScCoHg2.

## Properties
total DFT energy (no corrections): -3.548 eV/atom

Cell lengths 4.228, 4.228, 8.211 Å; angles 90.00, 90.00, 90.00 degrees
Space group I4/mmm (No. 139)
Asymmetric unit:
Sc 0.000 0.000 0.000
Co 0.000 0.000 0.500
Hg 0.000 0.500 0.250


No. 7
## GdInCuPt (PBE)

Data for a relaxed structure of GdInCuPt.

## Properties
total DFT energy (no corrections): -7.345 eV/atom

Cell lengths 6.801, 6.801, 6.801 Å; angles 90.00, 90.00, 90.00 degrees
Space group F-43m (No. 216)
Asymmetric unit:
Gd 0.000 0.000 0.000
In 0.000 0.000 0.500
Cu 0.250 0.250 0.250
Pt 0.250 0.250 0.750


No. 8
## CrPIr3 (PBE)

Data for a relaxed structure of CrPIr3.

## Properties
total DFT energy (no corrections): -6.766 eV/atom
polymorph energy (0 for the lowest one): 627 meV/atom

Cell lengths 4.482, 4.482, 4.482 Å; angles 90.00, 90.00, 90.00 degrees
Space group Pm-3m (No. 221)
Asymmetric unit:
Cr 0.000 0.000 0.000
P 0.500 0.500 0.500
Ir 0.000 0.000 0.500


No. 9
## CdSiP2Cl (PBE)

Data for a relaxed structure of CdSiP2Cl.

## Properties
formation energy (no corrections): 1.25 eV per atom
total DFT energy (no corrections): -2.547 eV/atom
polymorph energy (0 for the lowest one): 857 meV/atom

Cell lengths 4.698, 4.698, 5.155 Å; angles 90.00, 90.00, 90.00 degrees
Space group P4/mmm (No. 123)
Asymmetric unit:
Cd 0.000 0.000 0.000
Si 0.500 0.500 0.000
P 0.000 0.500 0.500
Cl 0.000 0.000 0.500


No. 10
## Li3Ca2Tl4 (PBE)

Data for a relaxed structure of Li3Ca2Tl4.

## Properties
total DFT energy (no corrections): -2.446 eV/atom
polymorph energy (0 for the lowest one): 0 meV/atom

Cell lengths 10.825, 4.958, 8.527 Å; angles 90.00, 105.01, 90.00 degrees
Space group C2/m (No. 12)
Asymmetric unit:
Li 0.000 0.000 0.000
Li 0.132 0.500 0.531
Ca 0.249 0.000 0.789
Tl 0.067 0.500 0.844
Tl 0.086 0.000 0.365


No. 11
## LiY3Sn (PBE)

Data for a relaxed structure of LiY3Sn.

## Properties
total DFT energy (no corrections): -4.909 eV/atom
polymorph energy (0 for the lowest one): 0 meV/atom

Cell lengths 5.194, 5.194, 5.194 Å; angles 90.00, 90.00, 90.00 degrees
Space group Pm-3m (No. 221)
Asymmetric unit:
Li 0.000 0.000 0.000
Y 0.000 0.000 0.500
Sn 0.500 0.500 0.500


No. 12
## Pm2Pr2Ni (PBE)

Data for a relaxed structure of Pm2Pr2Ni.

## Properties
total DFT energy (no corrections): -5.033 eV/atom

Cell lengths 7.751, 11.786, 7.455 Å; angles 90.00, 114.68, 90.00 degrees
Space group C2/m (No. 12)
Asymmetric unit:
Pm 0.042 0.226 0.261
Pr 0.231 0.500 0.893
Pr 0.241 0.000 0.616
Ni 0.000 0.388 0.500


No. 13
## TaMoW5 (PBE)

Data for a relaxed structure of TaMoW5.

## Properties
total DFT energy (no corrections): -12.336 eV/atom

Cell lengths 11.539, 8.875, 5.178 Å; angles 90.00, 116.58, 90.00 degrees
Space group C2/c (No. 15)
Asymmetric unit:
Ta 0.000 0.093 0.250
Mo 0.250 0.250 0.500
W 0.000 0.435 0.250
W 0.121 0.246 0.871
W 0.247 0.500 0.247